DFT (PBE) results for a geometry-optimized CaErPu2As4 structure.

Results
Formation enthalpy at 0 K   -1148 meV per atom

abc: 4.152 7.117 7.213
angles: 70.42 90.00 90.00
Each line ends with the local moment (μB).
Positions (direct):
Ca 0.500 0.500 0.000  -0.03
Er 0.000 0.500 0.500  -0.08
Pu 0.000 0.000 0.000  4.94
Pu 0.500 0.000 0.500  4.79
As 0.000 0.763 0.740  -0.15
As 0.000 0.237 0.260  -0.15
As 0.500 0.756 0.254  -0.12
As 0.500 0.244 0.746  -0.12